Record 1
# meta-GGA SCAN NaSiO2F, PBEsol geometry
# density of states at the Fermi level: 0.00 states/eV/cell
# ρ: 3.72 g/cm3
# energy relative to the elements, uncorrected: -2634 meV per atom
data_NaSiO2F
_cell_length_a 3.441
_cell_length_b 3.441
_cell_length_c 3.847
_cell_angle_alpha 90.00
_cell_angle_beta 90.00
_cell_angle_gamma 90.00
_symmetry_space_group_name_H-M 'P 4/m m m'
_symmetry_Int_Tables_number 123
_symmetry_space_group_name_Hall '-P 4 2'
loop_
_atom_site_label
_atom_site_type_symbol
_atom_site_fract_x
_atom_site_fract_y
_atom_site_fract_z
Na1 Na 0.000 0.000 0.000
Si1 Si 0.500 0.500 0.500
O1 O 0.000 0.500 0.500
F1 F 0.500 0.500 0.000

Record 2
# meta-GGA SCAN Na3Si3SnO9F, PBEsol geometry
# density of states at the Fermi level: 0.00 states/eV/cell
# ρ: 3.19 g/cm3
# energy relative to the elements, uncorrected: -2677 meV per atom
data_Na3Si3SnO9F
_cell_length_a 10.612
_cell_length_b 14.038
_cell_length_c 6.551
_cell_angle_alpha 90.00
_cell_angle_beta 111.81
_cell_angle_gamma 90.00
_symmetry_space_group_name_H-M 'C 1 2/m 1'
_symmetry_Int_Tables_number 12
_symmetry_space_group_name_Hall '-C 2y'
loop_
_atom_site_label
_atom_site_type_symbol
_atom_site_fract_x
_atom_site_fract_y
_atom_site_fract_z
Na1 Na 0.012 0.000 0.262
Na2 Na 0.242 0.135 0.079
Si1 Si 0.000 0.286 0.000
Si2 Si 0.203 0.389 0.399
Sn1 Sn 0.000 0.224 0.500
O1 O 0.052 0.223 0.839
O2 O 0.129 0.354 0.140
O3 O 0.134 0.114 0.536
O4 O 0.150 0.325 0.557
O5 O 0.159 0.500 0.409
F1 F 0.149 0.000 0.068

Record 3
# meta-GGA SCAN Na5Tb4Si4O16F, PBEsol geometry
# density of states at the Fermi level: 0.00 states/eV/cell
# ρ: 5.23 g/cm3
# energy relative to the elements, uncorrected: -3222 meV per atom
data_Na5Tb4Si4O16F
_cell_length_a 11.568
_cell_length_b 11.568
_cell_length_c 5.404
_cell_angle_alpha 90.00
_cell_angle_beta 90.00
_cell_angle_gamma 90.00
_symmetry_space_group_name_H-M 'I -4'
_symmetry_Int_Tables_number 82
_symmetry_space_group_name_Hall 'I -4'
loop_
_atom_site_label
_atom_site_type_symbol
_atom_site_fract_x
_atom_site_fract_y
_atom_site_fract_z
Na1 Na 0.000 0.000 0.000
Na2 Na 0.089 0.605 0.490
Tb1 Tb 0.115 0.182 0.476
Si1 Si 0.104 0.753 0.989
O1 O 0.033 0.793 0.741
O2 O 0.049 0.815 0.233
O3 O 0.110 0.612 0.018
O4 O 0.204 0.237 0.071
F1 F 0.000 0.000 0.500

Record 4
# meta-GGA SCAN NaTlO2F, PBEsol geometry
# density of states at the Fermi level: 1.83 states/eV/cell
# ρ: 5.91 g/cm3
# energy relative to the elements, uncorrected: -1007 meV per atom
data_NaTlO2F
_cell_length_a 4.131
_cell_length_b 4.131
_cell_length_c 4.582
_cell_angle_alpha 90.00
_cell_angle_beta 90.00
_cell_angle_gamma 90.00
_symmetry_space_group_name_H-M 'P 4/m m m'
_symmetry_Int_Tables_number 123
_symmetry_space_group_name_Hall '-P 4 2'
loop_
_atom_site_label
_atom_site_type_symbol
_atom_site_fract_x
_atom_site_fract_y
_atom_site_fract_z
Na1 Na 0.000 0.000 0.000
Tl1 Tl 0.500 0.500 0.500
O1 O 0.000 0.500 0.500
F1 F 0.500 0.500 0.000

Record 5
# meta-GGA SCAN NaTlOF2, PBEsol geometry
# density of states at the Fermi level: 1.67 states/eV/cell
# ρ: 6.80 g/cm3
# energy relative to the elements, uncorrected: -1238 meV per atom
data_NaTlOF2
_cell_length_a 4.004
_cell_length_b 4.004
_cell_length_c 4.287
_cell_angle_alpha 90.00
_cell_angle_beta 90.00
_cell_angle_gamma 90.00
_symmetry_space_group_name_H-M 'P 4/m m m'
_symmetry_Int_Tables_number 123
_symmetry_space_group_name_Hall '-P 4 2'
loop_
_atom_site_label
_atom_site_type_symbol
_atom_site_fract_x
_atom_site_fract_y
_atom_site_fract_z
Na1 Na 0.000 0.000 0.000
Tl1 Tl 0.500 0.500 0.500
O1 O 0.000 0.000 0.500
F1 F 0.000 0.500 0.000

Record 6
# meta-GGA SCAN NaVO2F2, PBEsol geometry
# density of states at the Fermi level: 0.00 states/eV/cell
# ρ: 3.12 g/cm3
# energy relative to the elements, uncorrected: -2795 meV per atom
data_NaVO2F2
_cell_length_a 6.393
_cell_length_b 3.550
_cell_length_c 7.163
_cell_angle_alpha 90.00
_cell_angle_beta 109.60
_cell_angle_gamma 90.00
_symmetry_space_group_name_H-M 'P 1 21 1'
_symmetry_Int_Tables_number 4
_symmetry_space_group_name_Hall 'P 2yb'
loop_
_atom_site_label
_atom_site_type_symbol
_atom_site_fract_x
_atom_site_fract_y
_atom_site_fract_z
Na1 Na 0.127 0.000 0.218
V1 V 0.368 0.041 0.791
O1 O 0.219 0.043 0.562
O2 O 0.409 0.514 0.863
F1 F 0.127 0.999 0.890
F2 F 0.356 0.498 0.239

Record 7
# meta-GGA SCAN Na2WO2F4, PBEsol geometry
# density of states at the Fermi level: 0.00 states/eV/cell
# ρ: 4.45 g/cm3
# energy relative to the elements, uncorrected: -2756 meV per atom
data_Na2WO2F4
_cell_length_a 5.041
_cell_length_b 18.420
_cell_length_c 5.429
_cell_angle_alpha 90.00
_cell_angle_beta 90.00
_cell_angle_gamma 90.00
_symmetry_space_group_name_H-M 'P b c n'
_symmetry_Int_Tables_number 60
_symmetry_space_group_name_Hall '-P 2n 2ab'
loop_
_atom_site_label
_atom_site_type_symbol
_atom_site_fract_x
_atom_site_fract_y
_atom_site_fract_z
Na1 Na 0.000 0.051 0.250
Na2 Na 0.000 0.271 0.750
W1 W 0.000 0.393 0.250
O1 O 0.229 0.452 0.114
F1 F 0.200 0.306 0.105
F2 F 0.211 0.374 0.541

Record 8
# meta-GGA SCAN NaZnO2F, PBEsol geometry
# density of states at the Fermi level: 0.98 states/eV/cell
# ρ: 3.85 g/cm3
# energy relative to the elements, uncorrected: -1293 meV per atom
data_NaZnO2F
_cell_length_a 3.755
_cell_length_b 3.755
_cell_length_c 4.262
_cell_angle_alpha 90.00
_cell_angle_beta 90.00
_cell_angle_gamma 90.00
_symmetry_space_group_name_H-M 'P 4/m m m'
_symmetry_Int_Tables_number 123
_symmetry_space_group_name_Hall '-P 4 2'
loop_
_atom_site_label
_atom_site_type_symbol
_atom_site_fract_x
_atom_site_fract_y
_atom_site_fract_z
Na1 Na 0.000 0.000 0.000
Zn1 Zn 0.500 0.500 0.500
O1 O 0.000 0.500 0.500
F1 F 0.500 0.500 0.000

Record 9
# meta-GGA SCAN Na3PF, PBEsol geometry
# density of states at the Fermi level: 1.11 states/eV/cell
# ρ: 2.18 g/cm3
# energy relative to the elements, uncorrected: -1290 meV per atom
data_Na3PF
_cell_length_a 4.489
_cell_length_b 4.489
_cell_length_c 4.489
_cell_angle_alpha 90.00
_cell_angle_beta 90.00
_cell_angle_gamma 90.00
_symmetry_space_group_name_H-M 'P m -3 m'
_symmetry_Int_Tables_number 221
_symmetry_space_group_name_Hall '-P 4 2 3'
loop_
_atom_site_label
_atom_site_type_symbol
_atom_site_fract_x
_atom_site_fract_y
_atom_site_fract_z
Na1 Na 0.000 0.000 0.500
P1 P 0.500 0.500 0.500
F1 F 0.000 0.000 0.000

Record 10
# meta-GGA SCAN NaPS2F, PBEsol geometry
# density of states at the Fermi level: 3.55 states/eV/cell
# ρ: 2.53 g/cm3
# energy relative to the elements, uncorrected: 239 meV per atom
data_NaPS2F
_cell_length_a 4.887
_cell_length_b 4.887
_cell_length_c 3.775
_cell_angle_alpha 90.00
_cell_angle_beta 90.00
_cell_angle_gamma 90.00
_symmetry_space_group_name_H-M 'P 4/m m m'
_symmetry_Int_Tables_number 123
_symmetry_space_group_name_Hall '-P 4 2'
loop_
_atom_site_label
_atom_site_type_symbol
_atom_site_fract_x
_atom_site_fract_y
_atom_site_fract_z
Na1 Na 0.000 0.000 0.000
P1 P 0.500 0.500 0.000
S1 S 0.000 0.500 0.500
F1 F 0.500 0.500 0.500

Record 11
# meta-GGA SCAN NaPdF3, PBEsol geometry
# ρ: 4.42 g/cm3
# energy relative to the elements, uncorrected: -2028 meV per atom
data_NaPdF3
_cell_length_a 6.648
_cell_length_b 6.772
_cell_length_c 7.366
_cell_angle_alpha 116.95
_cell_angle_beta 105.84
_cell_angle_gamma 91.61
_symmetry_space_group_name_H-M 'P -1'
_symmetry_Int_Tables_number 2
_symmetry_space_group_name_Hall '-P 1'
loop_
_atom_site_label
_atom_site_type_symbol
_atom_site_fract_x
_atom_site_fract_y
_atom_site_fract_z
Na1 Na 0.000 0.000 0.000
Na2 Na 0.000 0.000 0.500
Na3 Na 0.491 0.257 0.491
Pd1 Pd 0.000 0.500 0.000
Pd2 Pd 0.000 0.500 0.500
Pd3 Pd 0.474 0.243 0.965
F1 F 0.113 0.221 0.367
F2 F 0.117 0.632 0.348
F3 F 0.167 0.221 0.918
F4 F 0.222 0.749 0.008
F5 F 0.396 0.075 0.653
F6 F 0.466 0.604 0.724

Record 12
# meta-GGA SCAN Na2PdF6, PBEsol geometry
# density of states at the Fermi level: 0.00 states/eV/cell
# ρ: 3.48 g/cm3
# energy relative to the elements, uncorrected: -2226 meV per atom
data_Na2PdF6
_cell_length_a 9.2318
_cell_length_b 9.2318
_cell_length_c 5.1716
_cell_angle_alpha 90.00
_cell_angle_beta 90.00
_cell_angle_gamma 120.00
_symmetry_space_group_name_H-M 'P 3 2 1'
_symmetry_Int_Tables_number 150
_symmetry_space_group_name_Hall 'P 3 2"'
loop_
_atom_site_label
_atom_site_type_symbol
_atom_site_fract_x
_atom_site_fract_y
_atom_site_fract_z
Na1 Na 0.0000 0.3698 0.0000
Na2 Na 0.0000 0.7059 0.5000
Pd1 Pd 0.0000 0.0000 0.0000
Pd2 Pd 0.3333 0.6667 0.5068
F1 F 0.0927 0.1992 0.7944
F2 F 0.1377 0.5898 0.7178
F3 F 0.2198 0.4700 0.2964

Record 13
# meta-GGA SCAN NaPrF4, PBEsol geometry
# density of states at the Fermi level: 0.00 states/eV/cell
# ρ: 4.99 g/cm3
# energy relative to the elements, uncorrected: -3933 meV per atom
data_NaPrF4
_cell_length_a 6.104
_cell_length_b 7.123
_cell_length_c 7.131
_cell_angle_alpha 62.96
_cell_angle_beta 64.79
_cell_angle_gamma 64.81
_symmetry_space_group_name_H-M 'P 1'
_symmetry_Int_Tables_number 1
_symmetry_space_group_name_Hall 'P 1'
loop_
_atom_site_label
_atom_site_type_symbol
_atom_site_fract_x
_atom_site_fract_y
_atom_site_fract_z
Na1 Na 0.000 0.000 0.000
Na2 Na 0.004 0.478 0.486
Na3 Na 0.668 0.430 0.219
Pr1 Pr 0.334 0.500 0.820
Pr2 Pr 0.340 0.999 0.312
Pr3 Pr 0.674 0.922 0.723
F1 F 0.091 0.243 0.059
F2 F 0.093 0.733 0.547
F3 F 0.311 0.889 0.699
F4 F 0.319 0.380 0.200
F5 F 0.374 0.281 0.630
F6 F 0.383 0.819 0.084
F7 F 0.595 0.624 0.445
F8 F 0.616 0.130 0.939
F9 F 0.703 0.543 0.815
F10 F 0.706 0.005 0.346
F11 F 0.928 0.709 0.974
F12 F 0.932 0.167 0.509

Record 14
# meta-GGA SCAN Na2PtF6, PBEsol geometry
# density of states at the Fermi level: 0.00 states/eV/cell
# ρ: 4.55 g/cm3
# energy relative to the elements, uncorrected: -2260 meV per atom
data_Na2PtF6
_cell_length_a 9.3366
_cell_length_b 9.3366
_cell_length_c 5.1451
_cell_angle_alpha 90.00
_cell_angle_beta 90.00
_cell_angle_gamma 120.00
_symmetry_space_group_name_H-M 'P 3 2 1'
_symmetry_Int_Tables_number 150
_symmetry_space_group_name_Hall 'P 3 2"'
loop_
_atom_site_label
_atom_site_type_symbol
_atom_site_fract_x
_atom_site_fract_y
_atom_site_fract_z
Na1 Na 0.0000 0.2969 0.0000
Na2 Na 0.0000 0.6320 0.5000
Pt1 Pt 0.0000 0.0000 0.5000
Pt2 Pt 0.3333 0.6667 0.0054
F1 F 0.0950 0.8933 0.2931
F2 F 0.1353 0.5491 0.2188
F3 F 0.2204 0.7526 0.7924

Record 15
# meta-GGA SCAN Rb2NaRhF6, PBEsol geometry
# density of states at the Fermi level: 0.00 states/eV/cell
# ρ: 4.52 g/cm3
# energy relative to the elements, uncorrected: -2642 meV per atom
data_Rb2NaRhF6
_cell_length_a 8.455
_cell_length_b 8.455
_cell_length_c 8.455
_cell_angle_alpha 90.00
_cell_angle_beta 90.00
_cell_angle_gamma 90.00
_symmetry_space_group_name_H-M 'F m -3 m'
_symmetry_Int_Tables_number 225
_symmetry_space_group_name_Hall '-F 4 2 3'
loop_
_atom_site_label
_atom_site_type_symbol
_atom_site_fract_x
_atom_site_fract_y
_atom_site_fract_z
Rb1 Rb 0.250 0.250 0.250
Na1 Na 0.000 0.000 0.000
Rh1 Rh 0.000 0.000 0.500
F1 F 0.000 0.000 0.266

Record 16
# meta-GGA SCAN Rb2NaSbF6, PBEsol geometry
# density of states at the Fermi level: 0.00 states/eV/cell
# ρ: 4.08 g/cm3
# energy relative to the elements, uncorrected: -2741 meV per atom
data_Rb2NaSbF6
_cell_length_a 8.874
_cell_length_b 8.874
_cell_length_c 8.874
_cell_angle_alpha 90.00
_cell_angle_beta 90.00
_cell_angle_gamma 90.00
_symmetry_space_group_name_H-M 'F m -3 m'
_symmetry_Int_Tables_number 225
_symmetry_space_group_name_Hall '-F 4 2 3'
loop_
_atom_site_label
_atom_site_type_symbol
_atom_site_fract_x
_atom_site_fract_y
_atom_site_fract_z
Rb1 Rb 0.250 0.250 0.250
Na1 Na 0.000 0.000 0.000
Sb1 Sb 0.000 0.000 0.500
F1 F 0.000 0.000 0.254

Record 17
# meta-GGA SCAN Rb2NaTiF6, PBEsol geometry
# density of states at the Fermi level: 32.75 states/eV/cell
# ρ: 3.87 g/cm3
# energy relative to the elements, uncorrected: -3286 meV per atom
data_Rb2NaTiF6
_cell_length_a 8.484
_cell_length_b 8.484
_cell_length_c 8.484
_cell_angle_alpha 90.00
_cell_angle_beta 90.00
_cell_angle_gamma 90.00
_symmetry_space_group_name_H-M 'F m -3 m'
_symmetry_Int_Tables_number 225
_symmetry_space_group_name_Hall '-F 4 2 3'
loop_
_atom_site_label
_atom_site_type_symbol
_atom_site_fract_x
_atom_site_fract_y
_atom_site_fract_z
Rb1 Rb 0.250 0.250 0.250
Na1 Na 0.000 0.000 0.000
Ti1 Ti 0.000 0.000 0.500
F1 F 0.000 0.000 0.267

Record 18
# meta-GGA SCAN Rb2NaVF6, PBEsol geometry
# density of states at the Fermi level: 43.14 states/eV/cell
# ρ: 3.99 g/cm3
# energy relative to the elements, uncorrected: -3159 meV per atom
data_Rb2NaVF6
_cell_length_a 8.422
_cell_length_b 8.422
_cell_length_c 8.422
_cell_angle_alpha 90.00
_cell_angle_beta 90.00
_cell_angle_gamma 90.00
_symmetry_space_group_name_H-M 'F m -3 m'
_symmetry_Int_Tables_number 225
_symmetry_space_group_name_Hall '-F 4 2 3'
loop_
_atom_site_label
_atom_site_type_symbol
_atom_site_fract_x
_atom_site_fract_y
_atom_site_fract_z
Rb1 Rb 0.250 0.250 0.250
Na1 Na 0.000 0.000 0.000
V1 V 0.000 0.000 0.500
F1 F 0.000 0.000 0.270